Li2Mn3CuO8 | Alexandria | PBE+U | optimized geometry; DOS(E_F) = 2.8 states/eV/f.u.; energy above the most stable polymorph in this dataset = 34.1 meV per atom
1.0
5.141 -2.917 -0.006
5.141 2.917 -0.006
3.492 0.000 4.770
Li Mn Cu O
2 3 1 8
Direct
0.118 0.118 0.118
0.497 0.497 0.497
0.005 0.500 0.500
0.500 0.500 0.005
0.500 0.005 0.500
0.887 0.887 0.887
0.263 0.263 0.263
0.251 0.710 0.251
0.251 0.251 0.710
0.710 0.251 0.251
0.290 0.745 0.745
0.745 0.745 0.290
0.745 0.290 0.745
0.739 0.739 0.739